# 1
# Tb12Pr6Tm (GGA-PBE, relaxed)
# Energy above the lowest structure with this stoichiometry, eV/atom: 0.2017
# Calculated formation energy, eV/atom: 0.33
data_Tb12Pr6Tm
_space_group_name_H-M_alt 'R -3 m'
_space_group_IT_number 166
_space_group_name_Hall '-R 3 2"'
_cell_length_a 16.7379
_cell_length_b 16.7379
_cell_length_c 8.2294
_cell_angle_alpha 90.00
_cell_angle_beta 90.00
_cell_angle_gamma 120.00
loop_
_atom_site_label
_atom_site_fract_x
_atom_site_fract_y
_atom_site_fract_z
Tb1 0.0000 0.3816 0.0000
Tb2 0.1077 0.2154 0.6213
Pr1 0.1025 0.2050 0.0785
Tm1 0.0000 0.0000 0.5000

***

# 2
# LaTb2Ho4Th (GGA-PBE, relaxed)
# Calculated formation energy, eV/atom: 0.04
data_LaTb2Ho4Th
_space_group_name_H-M_alt 'P m m m'
_space_group_IT_number 47
_cell_length_a 5.077
_cell_length_b 5.093
_cell_length_c 9.980
_cell_angle_alpha 90.00
_cell_angle_beta 90.00
_cell_angle_gamma 90.00
loop_
_space_group_symop_operation_xyz
'x,y,z'
'-x,-y,-z'
'-x,-y,z'
'x,y,-z'
'x,-y,-z'
'-x,y,z'
'-x,y,-z'
'x,-y,z'
loop_
_atom_site_label
_atom_site_fract_x
_atom_site_fract_y
_atom_site_fract_z
La1 0.000 0.000 0.000
Tb1 0.000 0.000 0.500
Tb2 0.500 0.500 0.000
Ho1 0.000 0.500 0.256
Ho2 0.500 0.000 0.257
Th1 0.500 0.500 0.500

***

# 3
# Pm3Nd4Sm (GGA-PBE, relaxed)
# Energy above the lowest structure with this stoichiometry, eV/atom: 0.0000
# Calculated formation energy, eV/atom: 0.03
data_Pm3Nd4Sm
_space_group_name_H-M_alt 'P m n 21'
_space_group_IT_number 31
_cell_length_a 11.870
_cell_length_b 7.393
_cell_length_c 6.393
_cell_angle_alpha 90.00
_cell_angle_beta 90.00
_cell_angle_gamma 90.00
loop_
_space_group_symop_operation_xyz
'x,y,z'
'-x+1/2,-y,z+1/2'
'-x,y,z'
'x+1/2,-y,z+1/2'
loop_
_atom_site_label
_atom_site_fract_x
_atom_site_fract_y
_atom_site_fract_z
Pm1 0.000 0.124 0.000
Pm2 0.250 0.124 0.668
Nd1 0.000 0.374 0.500
Nd2 0.000 0.625 0.001
Nd3 0.250 0.374 0.168
Sm1 0.000 0.875 0.500

***

# 4
# Zr7Zn3 (GGA-PBE, relaxed)
# Calculated formation energy, eV/atom: -0.09
data_Zr7Zn3
_space_group_name_H-M_alt 'P 63 m c'
_space_group_IT_number 186
_space_group_name_Hall 'P 6c -2c'
_cell_length_a 8.8849
_cell_length_b 8.8849
_cell_length_c 6.1658
_cell_angle_alpha 90.00
_cell_angle_beta 90.00
_cell_angle_gamma 120.00
loop_
_atom_site_label
_atom_site_fract_x
_atom_site_fract_y
_atom_site_fract_z
Zr1 0.0686 0.5343 0.0000
Zr2 0.1216 0.2433 0.2601
Zr3 0.3333 0.6667 0.3586
Zn1 0.2065 0.4131 0.6803

***

# 5
# InAgS2 (GGA-PBE, relaxed)
# Energy relative to the elements, uncorrected, eV per atom: -0.35
data_InAgS2
_space_group_name_H-M_alt 'R 3 m'
_space_group_IT_number 160
_space_group_name_Hall 'R 3 -2"'
_cell_length_a 3.8761
_cell_length_b 3.8761
_cell_length_c 20.7287
_cell_angle_alpha 90.00
_cell_angle_beta 90.00
_cell_angle_gamma 120.00
loop_
_atom_site_label
_atom_site_fract_x
_atom_site_fract_y
_atom_site_fract_z
In1 0.0000 0.0000 0.0000
Ag1 0.0000 0.0000 0.8490
S1 0.0000 0.0000 0.2571
S2 0.0000 0.0000 0.7311

***

# 6
# AcLa2Tb4Ho (GGA-PBE, relaxed)
# Calculated formation energy, eV/atom: 0.11
data_AcLa2Tb4Ho
_space_group_name_H-M_alt 'P 4/m m m'
_space_group_IT_number 123
_space_group_name_Hall '-P 4 2'
_cell_length_a 5.983
_cell_length_b 5.983
_cell_length_c 7.767
_cell_angle_alpha 90.00
_cell_angle_beta 90.00
_cell_angle_gamma 90.00
loop_
_atom_site_label
_atom_site_fract_x
_atom_site_fract_y
_atom_site_fract_z
Ac1 0.000 0.000 0.000
La1 0.000 0.000 0.500
La2 0.500 0.500 0.000
Tb1 0.000 0.500 0.262
Ho1 0.500 0.500 0.500

***

# 7
# SrCaOs2 (GGA-PBE, relaxed)
# Energy above the lowest structure with this stoichiometry, eV/atom: 0.0000
# Calculated formation energy, eV/atom: 0.40
data_SrCaOs2
_space_group_name_H-M_alt 'I m m 2'
_space_group_IT_number 44
_cell_length_a 4.163
_cell_length_b 5.087
_cell_length_c 9.499
_cell_angle_alpha 90.00
_cell_angle_beta 90.00
_cell_angle_gamma 90.00
loop_
_space_group_symop_operation_xyz
'x,y,z'
'-x,-y,z'
'-x,y,z'
'x,-y,z'
'x+1/2,y+1/2,z+1/2'
'-x+1/2,-y+1/2,z+1/2'
'-x+1/2,y+1/2,z+1/2'
'x+1/2,-y+1/2,z+1/2'
loop_
_atom_site_label
_atom_site_fract_x
_atom_site_fract_y
_atom_site_fract_z
Sr1 0.000 0.000 0.000
Ca1 0.000 0.500 0.782
Os1 0.000 0.000 0.596
Os2 0.000 0.500 0.214

***

# 8
# Mo2AsOs (GGA-PBE, relaxed)
# Calculated formation energy, eV/atom: 0.37
data_Mo2AsOs
_space_group_name_H-M_alt 'P 4/m m m'
_space_group_IT_number 123
_space_group_name_Hall '-P 4 2'
_cell_length_a 3.704
_cell_length_b 3.704
_cell_length_c 4.476
_cell_angle_alpha 90.00
_cell_angle_beta 90.00
_cell_angle_gamma 90.00
loop_
_atom_site_label
_atom_site_fract_x
_atom_site_fract_y
_atom_site_fract_z
Mo1 0.000 0.500 0.000
As1 0.000 0.000 0.500
Os1 0.500 0.500 0.500

***

# 9
# DyZn9Co2 (GGA-PBE, relaxed)
# Energy above the lowest structure with this stoichiometry, eV/atom: 0.0000
# Calculated formation energy, eV/atom: -0.16
data_DyZn9Co2
_space_group_name_H-M_alt 'I 41/a m d'
_space_group_IT_number 141
_cell_length_a 10.320
_cell_length_b 10.320
_cell_length_c 6.755
_cell_angle_alpha 90.00
_cell_angle_beta 90.00
_cell_angle_gamma 90.00
loop_
_space_group_symop_operation_xyz
'x,y,z'
'-x,-y,-z'
'-y+1/4,x+3/4,z+1/4'
'y+1/4,-x+3/4,-z+1/4'
'-x+1/2,-y,z+1/2'
'x+1/2,y,-z+1/2'
'y+1/4,-x+1/4,z+3/4'
'-y+1/4,x+1/4,-z+3/4'
'x,-y,-z'
'-x,y,z'
'-y+1/4,-x+1/4,-z+3/4'
'y+1/4,x+1/4,z+3/4'
'-x+1/2,y,-z+1/2'
'x+1/2,-y,z+1/2'
'y+1/4,x+3/4,-z+1/4'
'-y+1/4,-x+3/4,z+1/4'
'x+1/2,y+1/2,z+1/2'
'-x+1/2,-y+1/2,-z+1/2'
'-y+3/4,x+1/4,z+3/4'
'y+3/4,-x+1/4,-z+3/4'
'-x,-y+1/2,z'
'x,y+1/2,-z'
'y+3/4,-x+3/4,z+1/4'
'-y+3/4,x+3/4,-z+1/4'
'x+1/2,-y+1/2,-z+1/2'
'-x+1/2,y+1/2,z+1/2'
'-y+3/4,-x+3/4,-z+1/4'
'y+3/4,x+3/4,z+1/4'
'-x,y+1/2,-z'
'x,-y+1/2,z'
'y+3/4,x+1/4,-z+3/4'
'-y+3/4,-x+1/4,z+3/4'
loop_
_atom_site_label
_atom_site_fract_x
_atom_site_fract_y
_atom_site_fract_z
Dy1 0.000 0.250 0.375
Zn1 0.000 0.250 0.875
Zn2 0.121 0.046 0.686
Co1 0.000 0.000 0.000

***

# 10
# DyTlPd5 (GGA-PBE, relaxed)
# Calculated formation energy, eV/atom: -0.41
data_DyTlPd5
_space_group_name_H-M_alt 'I m m a'
_space_group_IT_number 74
_space_group_name_Hall '-I 2b 2'
_cell_length_a 5.924
_cell_length_b 9.450
_cell_length_c 9.369
_cell_angle_alpha 90.00
_cell_angle_beta 90.00
_cell_angle_gamma 90.00
loop_
_atom_site_label
_atom_site_fract_x
_atom_site_fract_y
_atom_site_fract_z
Dy1 0.000 0.250 0.104
Tl1 0.250 0.250 0.750
Pd1 0.000 0.004 0.259
Pd2 0.000 0.250 0.430
Pd3 0.247 0.000 0.000

***

# 11
# Ca3Ac2Pb4 (GGA-PBE, relaxed)
# Energy above the lowest structure with this stoichiometry, eV/atom: 0.1432
# Calculated formation energy, eV/atom: -0.46
data_Ca3Ac2Pb4
_space_group_name_H-M_alt 'C m c e'
_space_group_IT_number 64
_space_group_name_Hall '-C 2ac 2'
_cell_length_a 7.263
_cell_length_b 18.068
_cell_length_c 9.442
_cell_angle_alpha 90.00
_cell_angle_beta 90.00
_cell_angle_gamma 90.00
loop_
_atom_site_label
_atom_site_fract_x
_atom_site_fract_y
_atom_site_fract_z
Ca1 0.000 0.000 0.000
Ca2 0.250 0.209 0.250
Ac1 0.000 0.112 0.587
Pb1 0.000 0.185 0.948
Pb2 0.250 0.036 0.250

***

# 12
# BaCa2Eu (GGA-PBE, relaxed)
# Energy above the lowest structure with this stoichiometry, eV/atom: 0.0156
# Calculated formation energy, eV/atom: 0.04
data_BaCa2Eu
_space_group_name_H-M_alt 'P 4/m m m'
_space_group_IT_number 123
_space_group_name_Hall '-P 4 2'
_cell_length_a 6.468
_cell_length_b 6.468
_cell_length_c 4.528
_cell_angle_alpha 90.00
_cell_angle_beta 90.00
_cell_angle_gamma 90.00
loop_
_atom_site_label
_atom_site_fract_x
_atom_site_fract_y
_atom_site_fract_z
Ba1 0.000 0.000 0.000
Ca1 0.000 0.500 0.500
Eu1 0.500 0.500 0.000